# 1
Entry from the Alexandria database: a geometry-optimized Sm4IrRu structure (PBE).

a = 6.422 Å, b = 7.578 Å, c = 8.038 Å
α = 113.88°, β = 108.72°, γ = 99.60°
Fractional coordinates of all 12 atoms:
Sm 0.993 0.760 0.129
Sm 0.644 0.045 0.353
Sm 0.209 0.309 0.353
Sm 0.791 0.691 0.647
Sm 0.636 0.369 0.129
Sm 0.356 0.955 0.647
Sm 0.007 0.240 0.871
Sm 0.364 0.631 0.871
Ru 0.748 0.998 0.996
Ru 0.252 0.002 0.004
Ir 0.385 0.635 0.271
Ir 0.615 0.365 0.729

Calculated values
D(E_F), states/eV/cell: 9.75
Size of the total moment, μB/f.u.: 0.0
ΔE to the lowest computed polymorph, eV per atom: 0.000
Energy relative to the elements, eV/atom: -0.437

# 2
Entry from the Alexandria database: a geometry-optimized Sm2Ir3Ru structure (PBE).

a = 5.409 Å, b = 5.409 Å, c = 8.796 Å
α = 90.00°, β = 90.00°, γ = 120.00°
Fractional coordinates of all 12 atoms:
Ru 0.000 0.000 0.500
Ru 0.000 0.000 0.000
Ir 0.337 0.168 0.750
Ir 0.168 0.832 0.250
Ir 0.168 0.337 0.250
Ir 0.832 0.168 0.750
Ir 0.832 0.663 0.750
Ir 0.663 0.832 0.250
Sm 0.667 0.333 0.434
Sm 0.333 0.667 0.566
Sm 0.333 0.667 0.934
Sm 0.667 0.333 0.066

Calculated values
D(E_F), states/eV/cell: 12.28
Size of the total moment, μB/f.u.: 0.0
Energy relative to the elements, eV/atom: -0.624

# 3
Entry from the Alexandria database: a geometry-optimized SmThIrRu structure (PBE).

a = 4.993 Å, b = 4.993 Å, c = 4.993 Å
α = 60.00°, β = 60.00°, γ = 60.00°
Fractional coordinates of all 4 atoms:
Th 0.500 0.500 0.500
Ir 0.250 0.250 0.250
Sm 0.000 0.000 0.000
Ru 0.750 0.750 0.750

Calculated values
D(E_F), states/eV/cell: 2.71
Size of the total moment, μB/f.u.: 0.0
Energy relative to the elements, eV/atom: -0.513

# 4
Entry from the Alexandria database: a geometry-optimized SmTmIrRu structure (PBE).

a = 4.847 Å, b = 4.847 Å, c = 4.847 Å
α = 60.00°, β = 60.00°, γ = 60.00°
Fractional coordinates of all 4 atoms:
Ru 0.250 0.250 0.250
Sm 0.000 0.000 0.000
Tm 0.500 0.500 0.500
Ir 0.750 0.750 0.750

Calculated values
D(E_F), states/eV/cell: 2.73
Size of the total moment, μB/f.u.: 0.0
Energy relative to the elements, eV/atom: -0.549

# 5
Entry from the Alexandria database: a geometry-optimized Sn2IrRu structure (PBE).

a = 3.128 Å, b = 3.128 Å, c = 7.086 Å
α = 90.00°, β = 90.00°, γ = 90.00°
Fractional coordinates of all 4 atoms:
Ru 0.500 0.500 0.000
Sn 0.000 0.000 0.757
Sn 0.000 0.000 0.243
Ir 0.500 0.500 0.500

Calculated values
D(E_F), states/eV/cell: 1.43
Size of the total moment, μB/f.u.: 0.0
Energy relative to the elements, eV/atom: 0.003

# 6
Entry from the Alexandria database: a geometry-optimized SnIrRu3 structure (PBE).

a = 4.720 Å, b = 4.720 Å, c = 4.720 Å
α = 90.00°, β = 90.00°, γ = 90.00°
Fractional coordinates of all 5 atoms:
Ir 0.000 0.000 0.000
Ru 0.000 0.500 0.000
Ru 0.500 0.000 0.000
Ru 0.000 0.000 0.500
Sn 0.500 0.500 0.500

Calculated values
D(E_F), states/eV/cell: 5.96
Size of the total moment, μB/f.u.: 0.0
ΔE to the lowest computed polymorph, eV per atom: 0.000
Energy relative to the elements, eV/atom: 1.451

# 7
Entry from the Alexandria database: a geometry-optimized Sn2IrRu structure (PBE).

a = 3.538 Å, b = 4.426 Å, c = 4.426 Å
α = 90.00°, β = 90.00°, γ = 90.00°
Fractional coordinates of all 4 atoms:
Ir 0.500 0.500 0.500
Sn 0.000 0.000 0.500
Sn 0.000 0.500 0.000
Ru 0.500 0.000 0.000

Calculated values
D(E_F), states/eV/cell: 0.87
Size of the total moment, μB/f.u.: 0.0
Energy relative to the elements, eV/atom: -0.021

# 8
Entry from the Alexandria database: a geometry-optimized Sn4Ir2Ru structure (PBE).

a = 5.062 Å, b = 5.062 Å, c = 7.381 Å
α = 69.94°, β = 69.94°, γ = 90.00°
Fractional coordinates of all 7 atoms:
Sn 0.500 0.000 0.000
Sn 0.800 0.800 0.401
Sn 0.000 0.500 0.000
Sn 0.200 0.200 0.599
Ru 0.000 0.000 0.000
Ir 0.397 0.397 0.205
Ir 0.603 0.603 0.795

Calculated values
D(E_F), states/eV/cell: 3.65
Size of the total moment, μB/f.u.: 0.0
Energy relative to the elements, eV/atom: 0.308

# 9
Entry from the Alexandria database: a geometry-optimized Sn4IrRu structure (PBE).

a = 6.451 Å, b = 7.386 Å, c = 7.387 Å
α = 121.82°, β = 90.00°, γ = 90.00°
Fractional coordinates of all 12 atoms:
Ru 0.000 0.500 0.500
Ru 0.500 0.000 0.500
Sn 0.710 0.139 0.853
Sn 0.210 0.361 0.147
Sn 0.290 0.861 0.147
Sn 0.215 0.853 0.640
Sn 0.715 0.647 0.360
Sn 0.285 0.353 0.640
Sn 0.785 0.147 0.360
Sn 0.790 0.639 0.853
Ir 0.000 0.000 0.000
Ir 0.500 0.500 0.000

Calculated values
D(E_F), states/eV/cell: 4.42
Size of the total moment, μB/f.u.: 0.0
Energy relative to the elements, eV/atom: -0.125

# 10
Entry from the Alexandria database: a geometry-optimized Sn6Ir3Ru structure (PBE).

a = 7.018 Å, b = 6.623 Å, c = 9.178 Å
α = 90.00°, β = 100.64°, γ = 90.00°
Fractional coordinates of all 20 atoms:
Ir 0.500 0.500 0.000
Ir 0.526 0.843 0.730
Ir 0.000 0.000 0.500
Ir 0.474 0.157 0.270
Ir 0.026 0.657 0.230
Ir 0.974 0.343 0.770
Sn 0.342 0.828 0.097
Sn 0.829 0.646 0.932
Sn 0.842 0.672 0.597
Sn 0.671 0.146 0.568
Sn 0.171 0.354 0.068
Sn 0.658 0.172 0.903
Sn 0.158 0.328 0.403
Sn 0.329 0.854 0.432
Sn 0.309 0.498 0.724
Sn 0.691 0.502 0.276
Sn 0.191 0.998 0.776
Sn 0.809 0.002 0.224
Ru 0.500 0.500 0.500
Ru 0.000 0.000 0.000

Calculated values
D(E_F), states/eV/cell: 8.84
Size of the total moment, μB/f.u.: 0.0
Energy relative to the elements, eV/atom: -0.114

# 11
Entry from the Alexandria database: a geometry-optimized Sn2IrRu structure (PBE).

a = 6.018 Å, b = 6.018 Å, c = 7.233 Å
α = 65.42°, β = 65.42°, γ = 90.00°
Fractional coordinates of all 8 atoms:
Ir 0.000 0.000 0.000
Ir 0.750 0.250 0.500
Ru 0.250 0.750 0.500
Ru 0.500 0.500 0.000
Sn 0.375 0.375 0.750
Sn 0.875 0.875 0.750
Sn 0.125 0.625 0.250
Sn 0.625 0.125 0.250

Calculated values
D(E_F), states/eV/cell: 7.82
Size of the total moment, μB/f.u.: 0.0
Energy relative to the elements, eV/atom: 0.668

# 12
Entry from the Alexandria database: a geometry-optimized Sn6Ir2Ru structure (PBE).

a = 6.408 Å, b = 6.408 Å, c = 10.985 Å
α = 90.00°, β = 90.00°, γ = 90.00°
Fractional coordinates of all 18 atoms:
Ir 0.000 0.000 0.176
Ir 0.500 0.500 0.676
Ir 0.500 0.500 0.324
Ir 0.000 0.000 0.824
Sn 0.794 0.206 0.000
Sn 0.294 0.294 0.500
Sn 0.787 0.213 0.662
Sn 0.206 0.794 0.000
Sn 0.213 0.787 0.338
Sn 0.713 0.713 0.838
Sn 0.287 0.287 0.838
Sn 0.713 0.713 0.162
Sn 0.213 0.787 0.662
Sn 0.287 0.287 0.162
Sn 0.787 0.213 0.338
Sn 0.706 0.706 0.500
Ru 0.500 0.500 0.000
Ru 0.000 0.000 0.500

Calculated values
D(E_F), states/eV/cell: 4.13
Size of the total moment, μB/f.u.: 0.0
Energy relative to the elements, eV/atom: -0.158

Table of uncorrected energy (eV for the cell shown), in record order: -79.27; -98.08; -32.33; -29.52; -26.13; -33.44; -26.23; -40.85; -69.80; -122.03; -46.94; -104.87